(1)
# KHoInSe3

Crystalline KHoInSe3 at its relaxed geometry (GGA-PBE, the Alexandria database).

Cell: 4.083 8.630 11.272 Å, 107.20 90.00 90.00°
Atoms (fractional coordinates):
Se1 0.250 0.654 0.411
Se2 0.250 0.105 0.807
Se3 0.750 0.346 0.589
Se4 0.750 0.408 0.113
Se5 0.750 0.895 0.193
Se6 0.250 0.592 0.887
In1 0.250 0.134 0.579
In2 0.750 0.866 0.421
Ho1 0.250 0.645 0.145
Ho2 0.750 0.355 0.855
K1 0.250 0.229 0.263
K2 0.750 0.771 0.737

Raw formation energy, eV/atom: -1.268
Space-group type: P2_1/m

***

(2)
# Mg2Ir2Pd

Crystalline Mg2Ir2Pd at its relaxed geometry (GGA-PBE, the Alexandria database).

Cell: 6.594 6.594 4.017 Å, 90.00 90.00 90.00°
Atoms (fractional coordinates):
Pd1 0.500 0.500 0.000
Pd2 0.000 0.000 0.000
Ir1 0.871 0.629 0.000
Ir2 0.629 0.129 0.000
Ir3 0.129 0.371 0.000
Ir4 0.371 0.871 0.000
Mg1 0.327 0.173 0.500
Mg2 0.827 0.327 0.500
Mg3 0.673 0.827 0.500
Mg4 0.173 0.673 0.500

Space-group type: P4/mbm
Formation energy, meV per atom: -134

***

(3)
# CsP2RuCl

Crystalline CsP2RuCl at its relaxed geometry (GGA-PBE, the Alexandria database).

Cell: 5.577 5.577 5.897 Å, 90.00 90.00 90.00°
Last column: magnetic moment on the atom in μB.
Atoms (fractional coordinates):
Cl1 0.000 0.000 0.500  0.05
Cs1 0.000 0.000 0.000  0.00
P1 0.000 0.500 0.000  -0.02
P2 0.500 0.000 0.000  -0.02
Ru1 0.500 0.500 0.500  2.86

Raw formation energy, eV/atom: 2.170
Space-group type: P4/mmm

***

(4)
# Tm2Th3Sn3

Crystalline Tm2Th3Sn3 at its relaxed geometry (GGA-PBE, the Alexandria database).

Cell: 6.379 9.195 9.195 Å, 120.00 90.00 90.00°
Atoms (fractional coordinates):
Tm1 0.500 0.667 0.333
Tm2 0.000 0.333 0.667
Tm3 0.500 0.333 0.667
Tm4 0.000 0.667 0.333
Th1 0.750 0.758 0.758
Th2 0.750 0.000 0.242
Th3 0.250 0.758 0.000
Th4 0.250 0.242 0.242
Th5 0.250 0.000 0.758
Th6 0.750 0.242 0.000
Sn1 0.750 0.000 0.599
Sn2 0.250 0.000 0.401
Sn3 0.250 0.599 0.599
Sn4 0.750 0.401 0.401
Sn5 0.250 0.401 0.000
Sn6 0.750 0.599 0.000

Space-group type: P6_3/mcm
Formation energy, meV per atom: -553

***

(5)
# AlHg3P

Crystalline AlHg3P at its relaxed geometry (GGA-PBE, the Alexandria database).

Cell: 5.153 5.153 5.153 Å, 90.00 90.00 90.00°
Atoms (fractional coordinates):
Hg1 0.500 0.000 0.000
Hg2 0.000 0.500 0.000
Hg3 0.000 0.000 0.500
Al1 0.500 0.500 0.500
P1 0.000 0.000 0.000

Space-group type: Pm-3m
Formation energy, meV per atom: 507

***

(6)
# Sb3Mo5

Crystalline Sb3Mo5 at its relaxed geometry (GGA-PBE, the Alexandria database).

Cell: 5.584 5.584 4.644 Å, 90.00 90.00 102.02°
Atoms (fractional coordinates):
Mo1 0.298 0.298 0.500
Mo2 0.702 0.702 0.500
Mo3 0.500 0.000 0.000
Mo4 0.000 0.500 0.000
Mo5 0.000 0.000 0.000
Sb1 0.214 0.786 0.500
Sb2 0.786 0.214 0.500
Sb3 0.500 0.500 0.000

Raw formation energy, eV/atom: 0.318
Space-group type: Cmmm

***

(7)
# PaNiPdAu

Crystalline PaNiPdAu at its relaxed geometry (GGA-PBE, the Alexandria database).

Cell: 4.680 4.680 4.680 Å, 60.00 60.00 60.00°
Atoms (fractional coordinates):
Au1 0.500 0.500 0.500
Pa1 0.000 0.000 0.000
Pd1 0.750 0.750 0.750
Ni1 0.250 0.250 0.250

Space-group type: F-43m
Formation energy, meV per atom: -384

***

(8)
# InBiPb2S5

Crystalline InBiPb2S5 at its relaxed geometry (GGA-PBE, the Alexandria database).

Cell: 4.055 9.182 12.817 Å, 90.00 90.00 102.76°
Atoms (fractional coordinates):
Pb1 0.872 0.743 0.812
Pb2 0.121 0.242 0.670
Pb3 0.879 0.758 0.170
Pb4 0.128 0.257 0.312
S1 0.518 0.036 0.271
S2 0.318 0.637 0.370
S3 0.682 0.363 0.870
S4 0.640 0.279 0.512
S5 0.360 0.721 0.012
S6 0.042 0.083 0.052
S7 0.958 0.917 0.552
S8 0.482 0.964 0.771
S9 0.715 0.431 0.175
S10 0.285 0.569 0.675
Bi1 0.209 0.419 0.023
Bi2 0.791 0.581 0.523
In1 0.547 0.094 0.938
In2 0.453 0.906 0.438

Raw formation energy, eV/atom: -0.478
Space-group type: Cmc2_1

***

Calculated volume, respectively: 379.5; 174.7; 183.4; 467.1; 136.9; 141.6; 72.5; 465.4 Å³/cell.